This record from Alexandria via LeMat-Bulk describes an optimized crystal structure of Eu2NiGe3. The functional is PBEsol.

density of states at the Fermi level	13.9	states/eV/f.u.
formation enthalpy at 0 K	-3.68	eV per formula unit
DFT total energy	-7.63	eV per atom

Unit cell a=4.083 b=4.083 c=8.788 alpha=90.00 beta=90.00 gamma=120.00
Fractional positions:
Ge (0.333, 0.667, 0.198)
Ge (0.667, 0.333, 0.303)
Ge (0.333, 0.667, 0.750)
Eu (0.000, 0.000, 0.977)
Eu (0.000, 0.000, 0.523)
Ni (0.667, 0.333, 0.749)